Compound: AcPm3Ga2
Source: the Alexandria database
Functional: GGA-PBE
Structure: optimized geometry

Cell: 9.2936 9.2936 9.1395 Å, 112.88 112.88 30.14°
Closest atoms and distances in Å follow each position.
Sites, in units of the cell vectors:
Ac: 0.1209 0.1209 0.1545  6 Ga 3.26-3.62, 2 Pm 3.62
Ac: 0.8791 0.8791 0.8455  6 Ga 3.26-3.62, 2 Pm 3.62
Pm: 0.0478 0.0478 0.6908  3 Ga 3.12-3.14, 1 Pm 3.21
Pm: 0.3176 0.3176 0.0696  2 Ga 3.01-3.11, 2 Pm 3.30
Pm: 0.3536 0.3536 0.5176  4 Ga 3.08-3.35
Pm: 0.6464 0.6464 0.4824  4 Ga 3.08-3.35
Pm: 0.6824 0.6824 0.9304  2 Ga 3.01-3.11, 2 Pm 3.30
Pm: 0.9522 0.9522 0.3092  3 Ga 3.12-3.14, 1 Pm 3.21
Ga: 0.2247 0.2247 0.6992  5 Pm 3.08-3.35
Ga: 0.4969 0.4969 0.1446  1 Ga 2.69, 1 Pm 3.01
Ga: 0.5031 0.5031 0.8554  1 Ga 2.69, 1 Pm 3.01
Ga: 0.7753 0.7753 0.3008  5 Pm 3.08-3.35

Calculated values
space-group type	C2/m (12)
crystal system	monoclinic
E_form	-0.32	eV per atom